Material: HfAlZn3
Method: DFT, PBE
State: relaxed

## Properties
crystal system	cubic
volume	97.1	Å³ per cell
uncorrected energy	-2.89	eV per atom
Fermi-level density of states	1.388	states/eV/cell
SG	Pm-3m (221)

Lattice parameters (Å, degrees): 4.597 4.597 4.597 90.00 90.00 90.00
Fractional positions:
1 Hf 0.000 0.000 0.000
2 Al 0.500 0.500 0.500
3 Zn 0.000 0.500 0.500
4 Zn 0.500 0.000 0.500
5 Zn 0.500 0.500 0.000